{
  "formula": "AlB",
  "functional": "PBE",
  "state": "relaxed",
  "lattice": [[-3.140, -0.424, 1.003], [-1.125, -3.928, 0.186], [-0.428, 0.106, 4.075]],
  "species": ["Al", "Al", "B", "B"],
  "frac_coords": [[0.500, 0.250, 0.249], [0.500, 0.750, 0.751], [0.163, 0.835, 0.335], [0.837, 0.165, 0.665]],
  "e_form_mev_per_atom": 144,
  "volume_a3_per_atom": 11.652,
  "magmom_total_mub_per_cell": 0.00
}